Entry 1:
The following is a PBE calculation of a geometry-optimized CdP2 structure, from Alexandria via LeMat-Bulk.

```
data_CdP2
_chemical_formula_sum 'Cd2 P4'
_cell_length_a 3.2358
_cell_length_b 3.2358
_cell_length_c 14.9819
_cell_angle_alpha 90.00
_cell_angle_beta 90.00
_cell_angle_gamma 120.00
_space_group_name_H-M_alt 'P 63/m m c'
_space_group_IT_number 194
_space_group_name_Hall '-P 6c 2c'
loop_
_atom_site_label
_atom_site_fract_x
_atom_site_fract_y
_atom_site_fract_z
_atom_site_occupancy
Cd1 0.0000 0.0000 0.2500 1
P1 0.3333 0.6667 0.0417 1
```

---

Entry 2:
The following is a PBE calculation of a geometry-optimized Pr7Al2Cd2 structure, from Alexandria via LeMat-Bulk.

```
data_Pr7Al2Cd2
_chemical_formula_sum 'Pr14 Al4 Cd4'
_cell_length_a 7.794
_cell_length_b 11.057
_cell_length_c 8.389
_cell_angle_alpha 90.00
_cell_angle_beta 90.00
_cell_angle_gamma 90.00
_space_group_name_H-M_alt 'C m m m'
_space_group_IT_number 65
_space_group_name_Hall '-C 2 2'
loop_
_atom_site_label
_atom_site_fract_x
_atom_site_fract_y
_atom_site_fract_z
_atom_site_occupancy
Pr1 0.000 0.000 0.000 1
Pr2 0.000 0.500 0.281 1
Pr3 0.250 0.250 0.297 1
Al1 0.166 0.000 0.500 1
Cd1 0.000 0.299 0.000 1
```

---

Entry 3:
# PBE Al2TcAu2, optimized geometry
data_Al2TcAu2
_chemical_formula_sum 'Al4 Tc2 Au4'
_cell_length_a 7.503
_cell_length_b 7.503
_cell_length_c 2.882
_cell_angle_alpha 90.00
_cell_angle_beta 90.00
_cell_angle_gamma 90.00
_space_group_name_H-M_alt 'P 4/m b m'
_space_group_IT_number 127
_space_group_name_Hall '-P 4 2ab'
loop_
_atom_site_label
_atom_site_fract_x
_atom_site_fract_y
_atom_site_fract_z
_atom_site_occupancy
Al1 0.171 0.329 0.000 1
Tc1 0.000 0.000 0.500 1
Au1 0.132 0.632 0.500 1
# - Energy above the lowest structure with this stoichiometry: 49 meV per atom

---

Entry 4:
The following is a PBE calculation of a geometry-optimized SrZn2H2 structure, from Alexandria via LeMat-Bulk.

```
data_SrZn2H2
_chemical_formula_sum 'Sr2 Zn4 H4'
_cell_length_a 4.160
_cell_length_b 4.160
_cell_length_c 8.996
_cell_angle_alpha 90.00
_cell_angle_beta 90.00
_cell_angle_gamma 90.00
_space_group_name_H-M_alt 'I 4/m m m'
_space_group_IT_number 139
_space_group_name_Hall '-I 4 2'
loop_
_atom_site_label
_atom_site_fract_x
_atom_site_fract_y
_atom_site_fract_z
_atom_site_occupancy
Sr1 0.000 0.000 0.000 1
Zn1 0.000 0.000 0.347 1
H1 0.000 0.500 0.250 1
```

---

Entry 5:
# PBE ZrHgSe2, optimized geometry
data_ZrHgSe2
_chemical_formula_sum 'Zr16 Hg16 Se32'
_cell_length_a 10.202
_cell_length_b 9.899
_cell_length_c 15.732
_cell_angle_alpha 90.00
_cell_angle_beta 94.51
_cell_angle_gamma 90.00
_space_group_name_H-M_alt 'C 1 2/c 1'
_space_group_IT_number 15
loop_
_space_group_symop_operation_xyz
'x,y,z'
'-x,-y,-z'
'-x,y,-z+1/2'
'x,-y,z+1/2'
'x+1/2,y+1/2,z'
'-x+1/2,-y+1/2,-z'
'-x+1/2,y+1/2,-z+1/2'
'x+1/2,-y+1/2,z+1/2'
loop_
_atom_site_label
_atom_site_fract_x
_atom_site_fract_y
_atom_site_fract_z
_atom_site_occupancy
Zr1 0.049 0.107 0.379 1
Zr2 0.231 0.461 0.305 1
Hg1 0.152 0.299 0.925 1
Hg2 0.181 0.492 0.100 1
Se1 0.000 0.085 0.750 1
Se2 0.000 0.442 0.750 1
Se3 0.074 0.361 0.429 1
Se4 0.101 0.088 0.558 1
Se5 0.166 0.207 0.235 1
# - Energy above the lowest structure with this stoichiometry: 204 meV per atom
# - Formation energy from raw total energies: -0.787 eV per atom

---

Entry 6:
# PBE Rb2BaBe2S4, optimized geometry
data_Rb2BaBe2S4
_chemical_formula_sum 'Rb4 Ba2 Be4 S8'
_cell_length_a 16.150
_cell_length_b 4.004
_cell_length_c 8.756
_cell_angle_alpha 90.00
_cell_angle_beta 118.90
_cell_angle_gamma 90.00
_space_group_name_H-M_alt 'C 1 2/m 1'
_space_group_IT_number 12
loop_
_space_group_symop_operation_xyz
'x,y,z'
'-x,-y,-z'
'-x,y,-z'
'x,-y,z'
'x+1/2,y+1/2,z'
'-x+1/2,-y+1/2,-z'
'-x+1/2,y+1/2,-z'
'x+1/2,-y+1/2,z'
loop_
_atom_site_label
_atom_site_fract_x
_atom_site_fract_y
_atom_site_fract_z
_atom_site_occupancy
Rb1 0.124 0.000 0.076 1
Ba1 0.000 0.000 0.500 1
Be1 0.174 0.500 0.452 1
S1 0.034 0.500 0.265 1
S2 0.216 0.000 0.615 1
# - Formation energy from raw total energies: -1.241 eV per atom

---

Entry 7:
# PBE AlPb2F8, optimized geometry
data_AlPb2F8
_chemical_formula_sum 'Al2 Pb4 F16'
_cell_length_a 14.136
_cell_length_b 4.255
_cell_length_c 4.989
_cell_angle_alpha 90.00
_cell_angle_beta 109.98
_cell_angle_gamma 90.00
_space_group_name_H-M_alt 'C 1 2/m 1'
_space_group_IT_number 12
loop_
_space_group_symop_operation_xyz
'x,y,z'
'-x,-y,-z'
'-x,y,-z'
'x,-y,z'
'x+1/2,y+1/2,z'
'-x+1/2,-y+1/2,-z'
'-x+1/2,y+1/2,-z'
'x+1/2,-y+1/2,z'
loop_
_atom_site_label
_atom_site_fract_x
_atom_site_fract_y
_atom_site_fract_z
_atom_site_occupancy
Al1 0.000 0.000 0.000 1
Pb1 0.154 0.500 0.646 1
F1 0.001 0.500 0.765 1
F2 0.096 0.000 0.345 1
F3 0.103 0.000 0.870 1
F4 0.221 0.500 0.240 1
# - Formation energy from raw total energies: -2.488 eV per atom

---

Entry 8:
# PBE BaNi2Pd2, optimized geometry
data_BaNi2Pd2
_chemical_formula_sum 'Ba2 Ni4 Pd4'
_cell_length_a 7.677
_cell_length_b 7.677
_cell_length_c 3.015
_cell_angle_alpha 90.00
_cell_angle_beta 90.00
_cell_angle_gamma 90.00
_space_group_name_H-M_alt 'P 4/m b m'
_space_group_IT_number 127
_space_group_name_Hall '-P 4 2ab'
loop_
_atom_site_label
_atom_site_fract_x
_atom_site_fract_y
_atom_site_fract_z
_atom_site_occupancy
Ba1 0.000 0.000 0.000 1
Ni1 0.116 0.384 0.000 1
Pd1 0.171 0.671 0.500 1
# - Energy above the lowest structure with this stoichiometry: 138 meV per atom

---

Entry 9:
The following is a PBE calculation of a geometry-optimized Tb12H5Pt3 structure, from Alexandria via LeMat-Bulk.

```
data_Tb12H5Pt3
_chemical_formula_sum 'Tb96 H40 Pt24'
_cell_length_a 15.198
_cell_length_b 15.198
_cell_length_c 15.198
_cell_angle_alpha 90.00
_cell_angle_beta 90.00
_cell_angle_gamma 90.00
_space_group_name_H-M_alt 'I a -3 d'
_space_group_IT_number 230
_space_group_name_Hall '-I 4bd 2c 3'
loop_
_atom_site_label
_atom_site_fract_x
_atom_site_fract_y
_atom_site_fract_z
_atom_site_occupancy
Tb1 0.036 0.060 0.654 1
H1 0.000 0.000 0.000 1
H2 0.000 0.250 0.375 1
Pt1 0.000 0.250 0.125 1
```

---

Entry 10:
The following is a PBE calculation of a geometry-optimized LaEr14Pu structure, from Alexandria via LeMat-Bulk.

```
data_LaEr14Pu
_chemical_formula_sum 'La1 Er14 Pu1'
_cell_length_a 7.035
_cell_length_b 7.035
_cell_length_c 9.915
_cell_angle_alpha 90.00
_cell_angle_beta 90.00
_cell_angle_gamma 90.00
_space_group_name_H-M_alt 'P 4/m m m'
_space_group_IT_number 123
_space_group_name_Hall '-P 4 2'
loop_
_atom_site_label
_atom_site_fract_x
_atom_site_fract_y
_atom_site_fract_z
_atom_site_occupancy
La1 0.000 0.000 0.000 1
Er1 0.000 0.000 0.500 1
Er2 0.000 0.500 0.000 1
Er3 0.000 0.500 0.500 1
Er4 0.253 0.253 0.251 1
Er5 0.500 0.500 0.500 1
Pu1 0.500 0.500 0.000 1
```

---

Entry 11:
# PBE LuHO, optimized geometry
data_LuHO
_chemical_formula_sum 'Lu1 H1 O1'
_cell_length_a 3.3240
_cell_length_b 3.3240
_cell_length_c 3.1318
_cell_angle_alpha 90.00
_cell_angle_beta 90.00
_cell_angle_gamma 120.00
_space_group_name_H-M_alt 'P -6 m 2'
_space_group_IT_number 187
_space_group_name_Hall 'P -6 2'
loop_
_atom_site_label
_atom_site_fract_x
_atom_site_fract_y
_atom_site_fract_z
_atom_site_occupancy
Lu1 0.0000 0.0000 0.0000 1
H1 0.6667 0.3333 0.0000 1
O1 0.3333 0.6667 0.5000 1
# - Energy above the lowest structure with this stoichiometry: 345 meV per atom

---

Entry 12:
# PBE RbYV2S, optimized geometry
data_RbYV2S
_chemical_formula_sum 'Rb1 Y1 V2 S1'
_cell_length_a 4.509
_cell_length_b 4.509
_cell_length_c 5.468
_cell_angle_alpha 90.00
_cell_angle_beta 90.00
_cell_angle_gamma 90.00
_space_group_name_H-M_alt 'P 4/m m m'
_space_group_IT_number 123
_space_group_name_Hall '-P 4 2'
loop_
_atom_site_label
_atom_site_fract_x
_atom_site_fract_y
_atom_site_fract_z
_atom_site_occupancy
Rb1 0.000 0.000 0.000 1
Y1 0.500 0.500 0.000 1
V1 0.000 0.500 0.500 1
S1 0.500 0.500 0.500 1
# - Formation energy from raw total energies: 0.484 eV per atom

---

Entry 13:
# PBE La2TbNd3Se6, optimized geometry
data_La2TbNd3Se6
_chemical_formula_sum 'La4 Tb2 Nd6 Se12'
_cell_length_a 7.331
_cell_length_b 12.742
_cell_length_c 7.328
_cell_angle_alpha 90.00
_cell_angle_beta 109.61
_cell_angle_gamma 90.00
_space_group_name_H-M_alt 'C 1 2/m 1'
_space_group_IT_number 12
loop_
_space_group_symop_operation_xyz
'x,y,z'
'-x,-y,-z'
'-x,y,-z'
'x,-y,z'
'x+1/2,y+1/2,z'
'-x+1/2,-y+1/2,-z'
'-x+1/2,y+1/2,-z'
'x+1/2,-y+1/2,z'
loop_
_atom_site_label
_atom_site_fract_x
_atom_site_fract_y
_atom_site_fract_z
_atom_site_occupancy
La1 0.000 0.166 0.000 1
Tb1 0.000 0.500 0.000 1
Nd1 0.000 0.000 0.500 1
Nd2 0.000 0.329 0.500 1
Se1 0.239 0.500 0.748 1
Se2 0.244 0.338 0.247 1
# - Formation energy from raw total energies: -1.883 eV per atom

---

Entry 14:
# PBE ZnAu2F8, optimized geometry
data_ZnAu2F8
_chemical_formula_sum 'Zn2 Au4 F16'
_cell_length_a 9.253
_cell_length_b 6.574
_cell_length_c 5.473
_cell_angle_alpha 90.00
_cell_angle_beta 97.46
_cell_angle_gamma 90.00
_space_group_name_H-M_alt 'C 1 2/m 1'
_space_group_IT_number 12
loop_
_space_group_symop_operation_xyz
'x,y,z'
'-x,-y,-z'
'-x,y,-z'
'x,-y,z'
'x+1/2,y+1/2,z'
'-x+1/2,-y+1/2,-z'
'-x+1/2,y+1/2,-z'
'x+1/2,-y+1/2,z'
loop_
_atom_site_label
_atom_site_fract_x
_atom_site_fract_y
_atom_site_fract_z
_atom_site_occupancy
Zn1 0.000 0.000 0.000 1
Au1 0.144 0.500 0.245 1
F1 0.066 0.500 0.747 1
F2 0.139 0.199 0.229 1
F3 0.140 0.000 0.750 1
# - Energy above the lowest structure with this stoichiometry: 18 meV per atom
# - Formation energy from raw total energies: -1.365 eV per atom

---

Entry 15:
# PBE SrTl2W, optimized geometry
data_SrTl2W
_chemical_formula_sum 'Sr2 Tl4 W2'
_cell_length_a 9.971
_cell_length_b 3.160
_cell_length_c 6.494
_cell_angle_alpha 90.00
_cell_angle_beta 97.64
_cell_angle_gamma 90.00
_space_group_name_H-M_alt 'C 1 2/m 1'
_space_group_IT_number 12
loop_
_space_group_symop_operation_xyz
'x,y,z'
'-x,-y,-z'
'-x,y,-z'
'x,-y,z'
'x+1/2,y+1/2,z'
'-x+1/2,-y+1/2,-z'
'-x+1/2,y+1/2,-z'
'x+1/2,-y+1/2,z'
loop_
_atom_site_label
_atom_site_fract_x
_atom_site_fract_y
_atom_site_fract_z
_atom_site_occupancy
Sr1 0.000 0.000 0.000 1
Tl1 0.240 0.000 0.707 1
W1 0.000 0.500 0.500 1
# - Energy above the lowest structure with this stoichiometry: 64 meV per atom

---

Entry 16:
The following is a PBE calculation of a geometry-optimized CuAgBiAu structure, from Alexandria via LeMat-Bulk.

```
data_CuAgBiAu
_chemical_formula_sum 'Cu4 Ag4 Bi4 Au4'
_cell_length_a 6.805
_cell_length_b 6.805
_cell_length_c 6.805
_cell_angle_alpha 90.00
_cell_angle_beta 90.00
_cell_angle_gamma 90.00
_space_group_name_H-M_alt 'F -4 3 m'
_space_group_IT_number 216
_space_group_name_Hall 'F -4 2 3'
loop_
_atom_site_label
_atom_site_fract_x
_atom_site_fract_y
_atom_site_fract_z
_atom_site_occupancy
Cu1 0.000 0.000 0.000 1
Ag1 0.000 0.000 0.500 1
Bi1 0.250 0.250 0.750 1
Au1 0.250 0.250 0.250 1
```

---

Entry 17:
# PBE Nd3Si5Rh6, optimized geometry
data_Nd3Si5Rh6
_chemical_formula_sum 'Nd6 Si10 Rh12'
_cell_length_a 4.013
_cell_length_b 12.516
_cell_length_c 9.945
_cell_angle_alpha 90.00
_cell_angle_beta 90.00
_cell_angle_gamma 90.00
_space_group_name_H-M_alt 'P m m n'
_space_group_IT_number 59
loop_
_space_group_symop_operation_xyz
'x,y,z'
'-x,-y,-z'
'-x+1/2,-y+1/2,z'
'x+1/2,y+1/2,-z'
'x+1/2,-y,-z'
'-x+1/2,y,z'
'-x,y+1/2,-z'
'x,-y+1/2,z'
loop_
_atom_site_label
_atom_site_fract_x
_atom_site_fract_y
_atom_site_fract_z
_atom_site_occupancy
Nd1 0.250 0.095 0.246 1
Nd2 0.250 0.750 0.243 1
Si1 0.250 0.076 0.646 1
Si2 0.250 0.626 0.991 1
Si3 0.250 0.750 0.601 1
Rh1 0.250 0.049 0.899 1
Rh2 0.250 0.250 0.011 1
Rh3 0.250 0.250 0.523 1
Rh4 0.250 0.580 0.490 1
# - Formation energy from raw total energies: -0.994 eV per atom

---

Entry 18:
The following is a PBE calculation of a geometry-optimized SrMg2In8 structure, from Alexandria via LeMat-Bulk.

```
data_SrMg2In8
_chemical_formula_sum 'Sr1 Mg2 In8'
_cell_length_a 7.462
_cell_length_b 7.462
_cell_length_c 6.125
_cell_angle_alpha 90.00
_cell_angle_beta 90.00
_cell_angle_gamma 90.00
_space_group_name_H-M_alt 'P 4/m m m'
_space_group_IT_number 123
_space_group_name_Hall '-P 4 2'
loop_
_atom_site_label
_atom_site_fract_x
_atom_site_fract_y
_atom_site_fract_z
_atom_site_occupancy
Sr1 0.000 0.000 0.000 1
Mg1 0.000 0.500 0.500 1
In1 0.292 0.292 0.247 1
```

---

no.,calculated total energy (eV/atom)
1,-3.8223
2,-3.8576
3,-4.9002
4,-2.0277
5,-4.7421
6,-4.3316
7,-4.8638
8,-4.6572
9,-5.0679
10,-5.1508
11,-6.2834
12,-5.4750
13,-6.0246
14,-3.4374
15,-4.1696
16,-3.3449
17,-7.1030
18,-2.4035